AlCu2Si PBE-GGA optimized geometry; raw formation energy = -0.2 kJ per mole of atoms; raw total energy = -4.341 eV per atom; total magnetic moment = 0.0 μB/cell; symmetry = P6_3/mmc (194)
1.0
-2.758 -2.072 -1.920
1.704 -1.500 3.230
-5.797 3.414 4.643
Al Cu Si
2 4 2
Direct
0.667 0.333 0.250
0.333 0.667 0.750
0.667 0.333 0.595
0.333 0.667 0.095
0.333 0.667 0.405
0.667 0.333 0.905
0.000 0.000 0.000
0.000 0.000 0.500



Al3Cu3Si PBE-GGA optimized geometry; raw formation energy = -0.4 kJ per mole of atoms; raw total energy = -4.138 eV per atom; total magnetic moment = 0.0 μB/cell; symmetry = Pmmn (59)
1.0
3.905 0.000 0.000
0.000 5.520 0.000
0.000 0.000 9.583
Si Al Cu
2 6 6
Direct
0.250 0.750 0.338
0.750 0.250 0.662
0.250 0.498 0.848
0.250 0.002 0.848
0.750 0.998 0.152
0.750 0.502 0.152
0.250 0.250 0.321
0.750 0.750 0.679
0.250 0.501 0.580
0.250 0.999 0.580
0.750 0.001 0.420
0.750 0.499 0.420
0.250 0.250 0.061
0.750 0.750 0.939



AlCuSi PBE-GGA optimized geometry; raw formation energy = 7.3 kJ per mole of atoms; raw total energy = -4.345 eV per atom; total magnetic moment = 0.0 μB/cell; symmetry = Cm (8)
1.0
-0.156 4.010 0.126
-0.693 -2.167 4.190
4.631 0.091 2.842
Si Al Cu
2 2 2
Direct
0.354 0.880 0.452
0.430 0.032 0.979
0.717 0.607 0.138
0.027 0.226 0.512
0.116 0.405 0.943
0.698 0.568 0.624



Al5Cu2Si PBE-GGA optimized geometry; raw formation energy = 1.9 kJ per mole of atoms; raw total energy = -4.021 eV per atom; total magnetic moment = 0.0 μB/cell; symmetry = Pbam (55)
1.0
-0.698 -3.648 1.631
3.163 -2.315 -3.824
8.574 1.206 6.362
Si Al Cu
2 10 4
Direct
0.000 0.000 0.500
0.000 0.500 0.000
0.000 0.000 0.000
0.000 0.500 0.500
0.000 0.526 0.753
0.000 0.474 0.247
0.000 0.974 0.253
0.000 0.026 0.747
0.500 0.273 0.882
0.500 0.727 0.118
0.500 0.227 0.382
0.500 0.773 0.618
0.500 0.288 0.635
0.500 0.712 0.365
0.500 0.212 0.135
0.500 0.788 0.865



Al3CuSi PBE-GGA optimized geometry; raw formation energy = 13.1 kJ per mole of atoms; raw total energy = -4.013 eV per atom; total magnetic moment = 0.0 μB/cell; symmetry = Pm-3m (221)
1.0
6.171 0.000 0.000
0.000 6.171 0.000
0.000 0.000 6.171
Si Al Cu
3 9 3
Direct
0.500 0.000 0.000
0.000 0.500 0.000
0.000 0.000 0.500
0.500 0.500 0.500
0.240 0.240 0.240
0.760 0.760 0.240
0.760 0.240 0.760
0.240 0.760 0.760
0.240 0.240 0.760
0.760 0.760 0.760
0.240 0.760 0.240
0.760 0.240 0.240
0.000 0.500 0.500
0.500 0.000 0.500
0.500 0.500 0.000



AlCu2Si PBE-GGA optimized geometry; raw formation energy = -0.9 kJ per mole of atoms; raw total energy = -4.349 eV per atom; total magnetic moment = 0.0 μB/cell; symmetry = Pnma (62)
1.0
5.181 0.000 0.000
0.000 6.721 0.000
0.000 0.000 6.455
Si Al Cu
4 4 8
Direct
0.370 0.750 0.391
0.870 0.250 0.109
0.630 0.250 0.609
0.130 0.750 0.891
0.628 0.750 0.048
0.128 0.250 0.452
0.372 0.250 0.952
0.872 0.750 0.548
0.031 0.938 0.212
0.531 0.062 0.288
0.969 0.438 0.788
0.469 0.562 0.712
0.969 0.062 0.788
0.469 0.938 0.712
0.031 0.562 0.212
0.531 0.438 0.288



AlCu2Si PBE-GGA optimized geometry; raw formation energy = 4.0 kJ per mole of atoms; raw total energy = -4.299 eV per atom; total magnetic moment = 0.0 μB/cell; symmetry = R-3m (166)
1.0
-0.299 -3.889 7.228
-0.509 -7.349 3.626
3.883 -5.327 4.900
Si Al Cu
3 3 6
Direct
0.333 0.334 0.333
0.667 0.666 0.667
0.500 0.500 0.500
0.141 0.141 0.141
0.859 0.859 0.859
0.000 0.000 0.000
0.589 0.589 0.082
0.082 0.589 0.589
0.589 0.082 0.589
0.411 0.411 0.918
0.411 0.918 0.411
0.918 0.411 0.411



AlCuSi2 PBE-GGA optimized geometry; raw formation energy = 31.8 kJ per mole of atoms; raw total energy = -4.341 eV per atom; total magnetic moment = 0.0 μB/cell; symmetry = F-43m (216)
1.0
4.366 0.000 0.000
2.183 3.781 0.000
2.183 1.260 3.565
Si Al Cu
2 1 1
Direct
0.000 0.000 0.000
0.250 0.250 0.250
0.500 0.500 0.500
0.750 0.750 0.750



Al3Cu3Si2 PBE-GGA optimized geometry; raw formation energy = 7.0 kJ per mole of atoms; raw total energy = -4.223 eV per atom; total magnetic moment = 0.0 μB/cell; symmetry = P6_3/mcm (193)
1.0
7.557 0.000 0.000
-3.779 6.545 0.000
0.000 0.000 4.608
Si Al Cu
4 6 6
Direct
0.333 0.667 0.000
0.667 0.333 0.500
0.667 0.333 0.000
0.333 0.667 0.500
0.226 0.000 0.250
0.000 0.226 0.250
0.774 0.774 0.250
0.774 0.000 0.750
0.000 0.774 0.750
0.226 0.226 0.750
0.587 0.000 0.250
0.000 0.587 0.250
0.413 0.413 0.250
0.413 0.000 0.750
0.000 0.413 0.750
0.587 0.587 0.750



AlCuSi2 PBE-GGA optimized geometry; raw formation energy = 34.0 kJ per mole of atoms; raw total energy = -4.319 eV per atom; total magnetic moment = 0.0 μB/cell; symmetry = P6_3/mmc (194)
1.0
-2.320 1.334 -3.436
-1.982 -2.005 3.320
-1.125 6.634 3.335
Al Cu Si
2 2 4
Direct
0.000 0.000 0.250
0.000 0.000 0.750
0.667 0.333 0.250
0.333 0.667 0.750
0.667 0.333 0.574
0.333 0.667 0.074
0.333 0.667 0.426
0.667 0.333 0.926



AlCuSi PBE-GGA optimized geometry; raw formation energy = 5.7 kJ per mole of atoms; raw total energy = -4.362 eV per atom; total magnetic moment = 0.0 μB/cell; symmetry = P2_1 (4)
1.0
4.347 0.000 -0.004
0.000 4.246 0.000
-0.168 -0.001 5.054
Si Al Cu
2 2 2
Direct
0.814 0.813 0.638
0.060 0.313 0.911
0.641 0.485 0.212
0.232 0.986 0.337
0.551 0.310 0.675
0.323 0.811 0.874



AlCu2Si4 PBE-GGA optimized geometry; raw formation energy = 16.3 kJ per mole of atoms; raw total energy = -4.635 eV per atom; total magnetic moment = 0.0 μB/cell; symmetry = P2_1/m (11)
1.0
3.617 0.000 0.000
0.000 7.145 -0.006
0.000 1.357 8.141
Si Al Cu
8 2 4
Direct
0.250 0.059 0.895
0.750 0.941 0.105
0.250 0.053 0.600
0.750 0.947 0.400
0.250 0.533 0.336
0.750 0.467 0.664
0.250 0.512 0.844
0.750 0.488 0.156
0.750 0.813 0.770
0.250 0.187 0.230
0.250 0.729 0.036
0.750 0.271 0.964
0.250 0.731 0.537
0.750 0.269 0.463